Entry 1:
Entry from Alexandria via LeMat-Bulk: a PBEsol-optimized structure of ZnGe2PtW (meta-GGA SCAN).

## Properties
The total energy comes out at -37.421 eV/atom. As for the formation energy from the elements: 893 meV/atom.

Cell and atoms, written as POSCAR:
```
ZnGe2PtW
1.0
4.8264 0.0000 0.0000
0.0000 4.8264 0.0000
0.0000 0.0000 4.8628
Zn Ge Pt W
1 2 1 1
Cartesian
0.0000 0.0000 0.0000
0.0000 2.4132 2.4314
2.4132 0.0000 2.4314
2.4132 2.4132 0.0000
2.4132 2.4132 2.4314
```

---

Entry 2:
Entry from Alexandria via LeMat-Bulk: a PBEsol-optimized structure of YCl4 (meta-GGA SCAN).

## Properties
For the formation energy (no corrections), the calculation gives -1.711 eV per atom. The total energy comes out at -13.662 eV/atom.

Cell and atoms, written as POSCAR:
```
YCl4
1.0
-3.1574 3.1574 3.1574
3.1574 -3.1574 3.1574
3.1574 3.1574 -3.1574
Y Cl
1 4
Cartesian
0.0000 0.0000 0.0000
1.5787 1.5787 -1.5787
1.5787 -1.5787 1.5787
-1.5787 1.5787 1.5787
1.5787 1.5787 1.5787
```

---

Entry 3:
Entry from Alexandria via LeMat-Bulk: a PBEsol-optimized structure of BeTlRu2 (meta-GGA SCAN).

## Properties
The total energy comes out at -36.116 eV/atom. As for the formation energy from the elements: 475 meV/atom.

Cell and atoms, written as POSCAR:
```
BeTlRu2
1.0
-1.5118 2.1699 4.3048
1.5118 -2.1699 4.3048
1.5118 2.1699 -4.3048
Be Tl Ru
1 1 2
Cartesian
0.0000 0.0000 0.0000
1.5118 0.0000 2.1479
0.0000 0.0000 4.5647
0.0000 2.1699 2.5120
```

---

Entry 4:
Entry from Alexandria via LeMat-Bulk: a PBEsol-optimized structure of Sc2Te (meta-GGA SCAN).

## Properties
For the formation energy (no corrections), the calculation gives -0.891 eV per atom. The total energy comes out at -22.799 eV/atom.

Cell and atoms, written as POSCAR:
```
Sc2Te
1.0
19.9385 0.0000 0.0000
0.0000 3.8760 0.0000
0.0000 0.0000 10.6207
Sc Te
24 12
Cartesian
0.2123 0.9690 1.1359
0.6613 2.9070 4.0522
2.1251 0.9690 8.9639
2.7629 2.9070 0.7467
3.2361 0.9690 5.6681
4.5312 2.9070 7.9830
5.4381 0.9690 2.6726
6.7332 2.9070 0.3578
7.2063 0.9690 6.0570
7.8442 2.9070 3.6536
9.3079 0.9690 9.3626
9.7570 2.9070 6.4462
10.1815 0.9690 4.1745
10.6305 2.9070 1.2581
12.0943 0.9690 6.9671
12.7321 2.9070 4.5636
13.2053 0.9690 10.2629
14.5004 2.9070 7.9480
15.4073 0.9690 2.6377
16.7024 2.9070 4.9526
17.1756 0.9690 9.8740
17.8134 2.9070 1.6568
19.2772 0.9690 6.5685
19.7262 2.9070 9.4848
1.4799 2.9070 6.8837
2.5256 0.9690 2.9375
4.7106 0.9690 10.2625
5.2587 2.9070 4.9522
7.4436 2.9070 8.2479
8.4893 0.9690 1.5733
11.4491 2.9070 9.0473
12.4949 0.9690 2.3728
14.6798 0.9690 5.6685
15.2279 2.9070 0.3581
17.4128 2.9070 7.6832
18.4586 0.9690 3.7370
```

---

Entry 5:
Entry from Alexandria via LeMat-Bulk: a PBEsol-optimized structure of Ba2FeAu (meta-GGA SCAN).

## Properties
The total energy comes out at -41.728 eV/atom. As for the formation energy from the elements: -131 meV/atom.

Cell and atoms, written as POSCAR:
```
Ba2FeAu
1.0
4.5772 0.0000 0.0000
0.0000 2.4020 5.7264
0.0000 -2.4020 5.7264
Ba Fe Au
2 1 1
Cartesian
0.0000 0.0000 0.0000
2.2886 0.0000 3.3545
0.0000 0.0000 7.8664
2.2886 0.0000 6.8143
```

---

Entry 6:
Entry from Alexandria via LeMat-Bulk: a PBEsol-optimized structure of Na2ZnPd2 (meta-GGA SCAN).

## Properties
The total energy comes out at -17.278 eV/atom. As for the formation energy from the elements: 221 meV/atom.

Cell and atoms, written as POSCAR:
```
Na2ZnPd2
1.0
-1.7457 1.7457 7.0721
1.7457 -1.7457 7.0721
1.7457 1.7457 -7.0721
Na Zn Pd
2 1 2
Cartesian
1.7457 0.0000 3.5361
0.0000 1.7457 3.5361
0.0000 0.0000 0.0000
0.0000 0.0000 5.7908
0.0000 0.0000 8.3535
```

---

Entry 7:
Entry from Alexandria via LeMat-Bulk: a PBEsol-optimized structure of SrBeGa2W (meta-GGA SCAN).

## Properties
The total energy comes out at -24.644 eV/atom. As for the formation energy from the elements: 1158 meV/atom.

Cell and atoms, written as POSCAR:
```
SrBeGa2W
1.0
4.9013 0.0000 0.0000
0.0000 4.9013 0.0000
0.0000 0.0000 5.5159
Sr Be Ga W
1 1 2 1
Cartesian
0.0000 0.0000 0.0000
2.4507 2.4507 0.0000
0.0000 2.4507 2.7579
2.4507 0.0000 2.7579
0.0000 0.0000 2.7579
```

---

Entry 8:
Entry from Alexandria via LeMat-Bulk: a PBEsol-optimized structure of La2CdTc (meta-GGA SCAN).

## Properties
The total energy comes out at -38.016 eV/atom. As for the formation energy from the elements: -95 meV/atom.

Cell and atoms, written as POSCAR:
```
La2CdTc
1.0
3.4813 0.0000 0.0000
0.0000 3.4862 0.0000
-0.3725 0.0000 8.2698
La Cd Tc
2 1 1
Cartesian
-0.0229 0.0000 2.3979
3.1316 0.0000 5.8720
1.7406 1.7431 0.0000
1.5544 1.7431 4.1349
```

---

Entry 9:
Entry from Alexandria via LeMat-Bulk: a PBEsol-optimized structure of CaTeO4 (meta-GGA SCAN).

## Properties
For the formation energy (no corrections), the calculation gives -1.983 eV per atom. The total energy comes out at -13.956 eV/atom.

Cell and atoms, written as POSCAR:
```
CaTeO4
1.0
5.2238 0.0000 0.0000
0.0000 12.6898 0.0000
0.0000 0.0000 5.0133
Ca Te O
4 4 16
Cartesian
0.0000 2.1571 1.2533
0.0000 10.5327 3.7600
2.6119 4.1878 3.7600
2.6119 8.5020 1.2533
0.0000 5.4256 1.2533
0.0000 7.2641 3.7600
2.6119 0.9192 3.7600
2.6119 11.7705 1.2533
1.0704 5.7857 2.8714
1.0704 6.9041 0.3648
1.1570 4.1319 0.5798
1.1570 8.5578 3.0864
1.4549 2.2130 3.0864
1.4549 10.4768 0.5798
1.5415 0.5592 0.3648
1.5415 12.1306 2.8714
3.6823 0.5592 2.1419
3.6823 12.1306 4.6486
3.7689 2.2130 4.4336
3.7689 10.4768 1.9269
4.0668 4.1319 1.9269
4.0668 8.5578 4.4336
4.1534 5.7857 4.6486
4.1534 6.9041 2.1419
```

---

Entry 10:
Entry from Alexandria via LeMat-Bulk: a PBEsol-optimized structure of Be3FeCl (meta-GGA SCAN).

## Properties
For the formation energy (no corrections), the calculation gives 1.143 eV per atom. The total energy comes out at -6.690 eV/atom.

Cell and atoms, written as POSCAR:
```
Be3FeCl
1.0
4.1362 0.0000 0.0000
0.0000 4.1362 0.0000
0.0000 0.0000 4.1362
Be Fe Cl
3 1 1
Cartesian
0.0000 0.0000 2.0681
0.0000 2.0681 0.0000
2.0681 0.0000 0.0000
0.0000 0.0000 0.0000
2.0681 2.0681 2.0681
```

---

Entry 11:
Entry from Alexandria via LeMat-Bulk: a PBEsol-optimized structure of CaYOs2 (meta-GGA SCAN).

## Properties
The total energy comes out at -44.893 eV/atom. As for the formation energy from the elements: 424 meV/atom.

Cell and atoms, written as POSCAR:
```
CaYOs2
1.0
2.9360 0.0000 0.0000
0.0000 4.5080 0.0000
-0.9221 0.0000 5.8913
Ca Y Os
1 1 2
Cartesian
0.0000 0.0000 0.0000
1.0070 0.0000 2.9456
0.1636 2.2540 4.1065
1.8503 2.2540 1.7848
```

---

Entry 12:
Entry from Alexandria via LeMat-Bulk: a PBEsol-optimized structure of Ba6Co6O16F (meta-GGA SCAN).

## Properties
For the formation energy (no corrections), the calculation gives -2.166 eV per atom. The total energy comes out at -17.489 eV/atom.

Cell and atoms, written as POSCAR:
```
Ba6Co6O16F
1.0
14.1563 0.0000 0.0000
0.0000 2.8233 4.8736
0.0000 -2.8233 4.8736
Ba Co O F
6 6 16 1
Cartesian
0.0000 0.0000 0.0000
2.0915 0.0000 3.2571
4.4016 0.0000 0.0526
7.0781 0.0000 6.7463
9.7547 0.0000 0.0526
12.0648 0.0000 3.2571
1.1845 0.0000 6.4997
3.6473 0.0000 6.5414
5.3367 0.0000 3.2957
8.8196 0.0000 3.2957
10.5090 0.0000 6.5414
12.9718 0.0000 6.4997
0.0000 0.0000 5.0368
0.0000 -1.2678 7.2239
0.0000 1.2678 7.2239
2.3729 0.0000 7.9409
2.4026 -1.2350 5.7942
2.4026 1.2350 5.7942
4.6937 -1.3353 7.3485
4.6937 1.3353 7.3485
4.8103 0.0000 5.0206
7.0781 0.0000 2.8023
9.3460 0.0000 5.0206
9.4626 -1.3353 7.3485
9.4626 1.3353 7.3485
11.7537 -1.2350 5.7942
11.7537 1.2350 5.7942
11.7834 0.0000 7.9409
7.0781 0.0000 9.3799
```